Here is crystalline NiP2WO at its relaxed geometry from the Alexandria database. Energies are from GGA+U.

Geometry as POSCAR:
```
NiP2WO
1.0
-1.9885 0.8897 -3.9524
3.6960 -1.4047 -2.1757
-1.2866 -3.2533 -0.0851
P W Ni O
2 1 1 1
direct
0.0000 0.5000 0.0000
0.5000 0.0000 0.0000
0.5000 0.5000 0.5000
0.0000 0.0000 0.0000
0.0000 0.0000 0.5000
```

Output
Its calculated density is 7.5 g cm⁻³. The density of states at the Fermi level comes out at 2.27 states/eV/cell. The calculation puts the spin magnetization at 0.09 μB per formula unit. The energy is -21.5 eV/cell.